[1]
DFT (PBE) results for a relaxed PuGaNi crystal.

Results
Calculated total energy in eV/cell: -23.943
Total magnetic moment in μB per formula unit: 5.5
Volume in A^3/atom: 17.25

```
data_PuGaNi
_chemical_formula_sum 'Pu1 Ga1 Ni1'
_space_group_name_H-M_alt 'P 1'
_space_group_IT_number 1
_cell_length_a 3.041
_cell_length_b 3.041
_cell_length_c 5.994
_cell_angle_alpha 104.70
_cell_angle_beta 104.70
_cell_angle_gamma 90.00
loop_
_space_group_symop_operation_xyz
'x,y,z'
loop_
_atom_site_label
_atom_site_fract_x
_atom_site_fract_y
_atom_site_fract_z
Ni1 0.259 0.259 0.518
Ga1 0.649 0.649 0.298
Pu1 0.942 0.942 0.884
```

---

[2]
DFT (PBE) results for a relaxed Pu2Ga7Ni crystal.

Results
Calculated total energy in eV/cell: -58.696
Total magnetic moment in μB per formula unit: 11.2
Volume in A^3/atom: 18.68

```
data_Pu2Ga7Ni
_chemical_formula_sum 'Pu2 Ga7 Ni1'
_space_group_name_H-M_alt 'P 1'
_space_group_IT_number 1
_cell_length_a 4.176
_cell_length_b 4.176
_cell_length_c 10.712
_cell_angle_alpha 90.00
_cell_angle_beta 90.00
_cell_angle_gamma 90.00
loop_
_space_group_symop_operation_xyz
'x,y,z'
loop_
_atom_site_label
_atom_site_fract_x
_atom_site_fract_y
_atom_site_fract_z
Pu1 0.500 0.000 0.756
Pu2 0.000 0.500 0.244
Ga1 0.000 0.500 0.875
Ga2 0.500 0.000 0.355
Ga3 0.500 0.000 0.125
Ga4 0.000 0.500 0.645
Ga5 0.000 0.000 0.500
Ga6 0.000 0.000 0.000
Ga7 0.500 0.500 0.500
Ni1 0.500 0.500 0.000
```

---

[3]
DFT (PBE) results for a relaxed Pu2Ga3Ni5 crystal.

Results
Calculated total energy in eV/cell: -139.459
Total magnetic moment in μB per formula unit: 10.5
Volume in A^3/atom: 15.99

```
data_Pu2Ga3Ni5
_chemical_formula_sum 'Pu4 Ga6 Ni10'
_space_group_name_H-M_alt 'P 1'
_space_group_IT_number 1
_cell_length_a 5.482
_cell_length_b 8.150
_cell_length_c 8.150
_cell_angle_alpha 76.28
_cell_angle_beta 70.35
_cell_angle_gamma 70.35
loop_
_space_group_symop_operation_xyz
'x,y,z'
loop_
_atom_site_label
_atom_site_fract_x
_atom_site_fract_y
_atom_site_fract_z
Pu1 0.127 0.609 0.137
Pu2 0.627 0.137 0.609
Pu3 0.873 0.391 0.863
Pu4 0.373 0.863 0.391
Ga1 0.357 0.543 0.743
Ga2 0.857 0.743 0.543
Ga3 0.643 0.457 0.257
Ga4 0.143 0.257 0.457
Ga5 0.250 0.000 0.000
Ga6 0.750 0.000 0.000
Ni1 0.390 0.275 0.944
Ni2 0.890 0.944 0.275
Ni3 0.610 0.725 0.056
Ni4 0.110 0.056 0.725
Ni5 0.461 0.789 0.789
Ni6 0.539 0.211 0.211
Ni7 0.750 0.500 0.500
Ni8 0.250 0.500 0.500
Ni9 0.039 0.211 0.211
Ni10 0.961 0.789 0.789
```

---

[4]
DFT (PBE) results for a relaxed PuGa2Ni crystal.

Results
Calculated total energy in eV/cell: -110.620
Total magnetic moment in μB per formula unit: 5.5
Volume in A^3/atom: 17.58

```
data_PuGa2Ni
_chemical_formula_sum 'Pu4 Ga8 Ni4'
_space_group_name_H-M_alt 'P 1'
_space_group_IT_number 1
_cell_length_a 5.248
_cell_length_b 6.693
_cell_length_c 8.006
_cell_angle_alpha 90.00
_cell_angle_beta 90.00
_cell_angle_gamma 90.00
loop_
_space_group_symop_operation_xyz
'x,y,z'
loop_
_atom_site_label
_atom_site_fract_x
_atom_site_fract_y
_atom_site_fract_z
Pu1 0.387 0.250 0.037
Pu2 0.887 0.750 0.463
Pu3 0.613 0.750 0.963
Pu4 0.113 0.250 0.537
Ga1 0.889 0.054 0.184
Ga2 0.389 0.946 0.316
Ga3 0.111 0.554 0.816
Ga4 0.611 0.446 0.684
Ga5 0.111 0.946 0.816
Ga6 0.611 0.054 0.684
Ga7 0.889 0.446 0.184
Ga8 0.389 0.554 0.316
Ni1 0.631 0.250 0.404
Ni2 0.131 0.750 0.096
Ni3 0.369 0.750 0.596
Ni4 0.869 0.250 0.904
```

---

[5]
DFT (PBE) results for a relaxed Pu2GaNi crystal.

Results
Calculated total energy in eV/cell: -37.286
Total magnetic moment in μB per formula unit: 0.1
Volume in A^3/atom: 15.29

```
data_Pu2GaNi
_chemical_formula_sum 'Pu2 Ga1 Ni1'
_space_group_name_H-M_alt 'P 1'
_space_group_IT_number 1
_cell_length_a 4.888
_cell_length_b 3.537
_cell_length_c 3.537
_cell_angle_alpha 90.00
_cell_angle_beta 90.00
_cell_angle_gamma 90.00
loop_
_space_group_symop_operation_xyz
'x,y,z'
loop_
_atom_site_label
_atom_site_fract_x
_atom_site_fract_y
_atom_site_fract_z
Ni1 0.500 0.000 0.000
Ga1 0.500 0.500 0.500
Pu1 0.000 0.000 0.500
Pu2 0.000 0.500 0.000
```

---

[6]
DFT (PBE) results for a relaxed Pu3Ga4Ni4 crystal.

Results
Calculated total energy in eV/cell: -81.737
Total magnetic moment in μB per formula unit: 16.1
Volume in A^3/atom: 17.99

```
data_Pu3Ga4Ni4
_chemical_formula_sum 'Pu3 Ga4 Ni4'
_space_group_name_H-M_alt 'P 1'
_space_group_IT_number 1
_cell_length_a 4.141
_cell_length_b 3.852
_cell_length_c 12.726
_cell_angle_alpha 98.70
_cell_angle_beta 99.36
_cell_angle_gamma 90.00
loop_
_space_group_symop_operation_xyz
'x,y,z'
loop_
_atom_site_label
_atom_site_fract_x
_atom_site_fract_y
_atom_site_fract_z
Pu1 0.354 0.854 0.708
Pu2 0.646 0.146 0.292
Pu3 0.000 0.000 0.000
Ga1 0.252 0.252 0.504
Ga2 0.097 0.597 0.193
Ga3 0.903 0.403 0.807
Ga4 0.748 0.748 0.496
Ni1 0.807 0.307 0.615
Ni2 0.452 0.452 0.904
Ni3 0.548 0.548 0.096
Ni4 0.193 0.693 0.385
```

---

[7]
DFT (PBE) results for a relaxed PuGa2Ni crystal.

Results
Calculated total energy in eV/cell: -25.856
Total magnetic moment in μB per formula unit: 5.0
Volume in A^3/atom: 17.71

```
data_PuGa2Ni
_chemical_formula_sum 'Pu1 Ga2 Ni1'
_space_group_name_H-M_alt 'P 1'
_space_group_IT_number 1
_cell_length_a 2.890
_cell_length_b 2.890
_cell_length_c 9.933
_cell_angle_alpha 81.63
_cell_angle_beta 81.63
_cell_angle_gamma 60.00
loop_
_space_group_symop_operation_xyz
'x,y,z'
loop_
_atom_site_label
_atom_site_fract_x
_atom_site_fract_y
_atom_site_fract_z
Ni1 0.500 0.500 0.500
Ga1 0.102 0.102 0.693
Ga2 0.898 0.898 0.307
Pu1 0.000 0.000 0.000
```

---

[8]
DFT (PBE) results for a relaxed Pu2GaNi3 crystal.

Results
Calculated total energy in eV/cell: -50.976
Total magnetic moment in μB per formula unit: 10.9
Volume in A^3/atom: 16.02

```
data_Pu2GaNi3
_chemical_formula_sum 'Pu2 Ga1 Ni3'
_space_group_name_H-M_alt 'P 1'
_space_group_IT_number 1
_cell_length_a 5.235
_cell_length_b 5.235
_cell_length_c 5.053
_cell_angle_alpha 90.02
_cell_angle_beta 121.17
_cell_angle_gamma 120.01
loop_
_space_group_symop_operation_xyz
'x,y,z'
loop_
_atom_site_label
_atom_site_fract_x
_atom_site_fract_y
_atom_site_fract_z
Pu1 0.760 0.380 0.140
Pu2 0.240 0.620 0.860
Ga1 0.000 0.000 0.000
Ni1 0.500 0.500 0.500
Ni2 0.000 0.000 0.500
Ni3 0.500 0.000 0.500
```

---

Respective energy of formation values: -0.8; -3.1; -3.1; -1.5; 0.2; -3.5; 0.3; -1.9 eV per formula unit.